TbY4Tm2Sc: optimized geometry, PBE.

Unit cell a=4.9668 b=4.9668 c=9.9327 alpha=90.00 beta=90.00 gamma=90.00
Last column: nearest neighbours and their distance in Å.
Fractional positions:
Tb (0.0000, 0.0000, 0.0000)  4 Tm 3.51, 8 Y 3.55
Y (0.0000, 0.5000, 0.2551)  4 Tm 3.48-3.55, 2 Sc 3.48, 4 Y 3.51, 2 Tb 3.55
Y (0.0000, 0.5000, 0.7449)  4 Tm 3.48-3.55, 2 Sc 3.48, 4 Y 3.51, 2 Tb 3.55
Y (0.5000, 0.0000, 0.2551)  4 Tm 3.48-3.55, 2 Sc 3.48, 4 Y 3.51, 2 Tb 3.55
Y (0.5000, 0.0000, 0.7449)  4 Tm 3.48-3.55, 2 Sc 3.48, 4 Y 3.51, 2 Tb 3.55
Tm (0.0000, 0.0000, 0.5000)  8 Y 3.48, 4 Sc 3.51
Tm (0.5000, 0.5000, 0.0000)  4 Tb 3.51, 8 Y 3.55
Sc (0.5000, 0.5000, 0.5000)  8 Y 3.48, 4 Tm 3.51

Crystal system = tetragonal
Uncorrected energy = -5.68 eV per atom